The following is a DFT calculation (GGA+U) of an optimized crystal structure of NiPt3O.

Summary:
**E above lowest polymorph**: 0.00 eV per formula unit
**Space-group type**: Pm-3m (221)
**Total magnetization**: 0.00 μB per formula unit
**Calculated total energy**: -4.1752 eV per atom

Lattice parameters (Å, degrees): 4.1878 4.1878 4.1878 90.00 90.00 90.00
With the nearest neighbours (Å) after each atom.
Atoms (fractional coordinates):
1 Ni 0.0000 0.0000 0.0000  12 Pt 2.96
2 Pt 0.0000 0.5000 0.5000  2 O 2.09
3 Pt 0.5000 0.0000 0.5000  2 O 2.09
4 Pt 0.5000 0.5000 0.0000  2 O 2.09
5 O 0.5000 0.5000 0.5000  6 Pt 2.09